1.
A relaxed structure of PmDy2Sc6. Source: Alexandria, functional PBE.

Calculated values
Crystal system: tetragonal
DOS at the Fermi energy (states/eV/cell): 34.65

a b c (Å): 7.812 7.812 9.677
angles (deg): 90.00 90.00 90.00
Positions (direct):
Sc1 0.737 0.737 0.500
Dy1 0.000 0.000 0.832
Sc2 0.761 0.239 0.335
Sc3 0.763 0.237 0.000
Sc4 0.263 0.263 0.500
Sc5 0.261 0.261 0.165
Pm1 0.000 0.000 0.500
Sc6 0.237 0.763 0.000
Sc7 0.239 0.761 0.665
Sc8 0.739 0.739 0.165
Sc9 0.739 0.739 0.835
Pm2 0.500 0.500 0.000
Sc10 0.239 0.761 0.335
Sc11 0.261 0.261 0.835
Dy2 0.500 0.500 0.332
Dy3 0.500 0.500 0.668
Sc12 0.761 0.239 0.665
Dy4 0.000 0.000 0.168

=====

2.
A relaxed structure of Pm3Dy2Sc. Source: Alexandria, functional PBE.

Calculated values
Crystal system: triclinic
Relative energy among the computed polymorphs (meV per atom): 0
DOS at the Fermi energy (states/eV/cell): 16.48

a b c (Å): 7.139 10.149 7.150
angles (deg): 80.42 119.59 121.47
Positions (direct):
Pm1 0.747 0.999 0.250
Dy1 0.305 0.667 0.862
Pm2 0.196 0.335 0.639
Pm3 0.810 0.673 0.863
Dy2 0.309 0.675 0.365
Dy3 0.695 0.333 0.138
Sc1 0.747 0.999 0.749
Pm4 0.190 0.327 0.137
Sc2 0.253 0.001 0.251
Pm5 0.804 0.665 0.361
Pm6 0.253 0.001 0.750
Dy4 0.691 0.325 0.635

=====

3.
A relaxed structure of Pm5Dy2Sc2. Source: Alexandria, functional PBE.

Calculated values
Crystal system: orthorhombic
Relative energy among the computed polymorphs (meV per atom): 89
DOS at the Fermi energy (states/eV/cell): 26.18

a b c (Å): 8.516 7.082 11.109
angles (deg): 108.59 112.54 90.00
Positions (direct):
Sc1 0.825 0.500 0.923
Pm1 0.164 0.684 0.783
Dy1 0.500 0.509 0.000
Pm2 0.205 0.793 0.500
Sc2 0.175 0.577 0.077
Pm3 0.591 0.630 0.677
Pm4 0.836 0.901 0.217
Dy2 0.192 0.289 0.500
Dy3 0.808 0.789 0.500
Sc3 0.402 0.077 0.077
Pm5 0.409 0.953 0.323
Pm6 0.795 0.293 0.500
Pm7 0.119 0.184 0.783
Pm8 0.881 0.401 0.217
Dy4 0.000 0.009 0.000
Pm9 0.586 0.130 0.677
Pm10 0.414 0.453 0.323
Sc4 0.598 0.000 0.923

=====

4.
A relaxed structure of Pm6Dy3Sc2. Source: Alexandria, functional PBE.

Calculated values
Crystal system: triclinic
DOS at the Fermi energy (states/eV/cell): 19.67

a b c (Å): 6.773 6.109 11.731
angles (deg): 103.60 55.43 117.59
Positions (direct):
Sc1 0.443 0.340 0.105
Pm1 0.069 0.486 0.824
Sc2 0.557 0.660 0.895
Pm2 0.628 0.095 0.733
Dy1 0.816 0.027 0.365
Dy2 0.000 0.000 0.000
Pm3 0.931 0.514 0.176
Dy3 0.184 0.973 0.635
Pm4 0.372 0.905 0.267
Pm5 0.275 0.439 0.451
Pm6 0.725 0.561 0.549

=====

5.
A relaxed structure of PmDy7Sc4. Source: Alexandria, functional PBE.

Calculated values
Crystal system: triclinic
DOS at the Fermi energy (states/eV/cell): 16.69

a b c (Å): 6.969 6.038 11.051
angles (deg): 79.49 50.89 90.05
Positions (direct):
Dy1 0.740 0.502 0.005
Dy2 0.500 0.000 0.000
Sc1 0.594 0.275 0.662
Sc2 0.406 0.725 0.338
Dy3 0.337 0.776 0.663
Dy4 0.917 0.716 0.340
Dy5 0.083 0.284 0.660
Sc3 0.840 0.784 0.660
Dy6 0.260 0.498 0.995
Dy7 0.663 0.224 0.337
Pm1 0.000 0.000 0.000
Sc4 0.160 0.216 0.340

=====

6.
A relaxed structure of PmDy3Sc6. Source: Alexandria, functional PBE.

Calculated values
Crystal system: orthorhombic
Relative energy among the computed polymorphs (meV per atom): 0
DOS at the Fermi energy (states/eV/cell): 28.17

a b c (Å): 5.881 10.381 10.381
angles (deg): 119.34 90.00 90.00
Positions (direct):
Sc1 0.011 0.726 0.617
Pm1 0.179 0.214 0.786
Sc2 0.360 0.549 0.983
Dy1 0.469 0.925 0.717
Dy2 0.969 0.717 0.925
Sc3 0.011 0.383 0.274
Sc4 0.511 0.617 0.726
Dy3 0.065 0.399 0.601
Sc5 0.511 0.274 0.383
Sc6 0.860 0.451 0.017
Sc7 0.431 0.950 0.050
Dy4 0.469 0.283 0.075
Pm2 0.679 0.786 0.214
Sc8 0.860 0.983 0.549
Dy5 0.565 0.601 0.399
Sc9 0.931 0.050 0.950
Sc10 0.360 0.017 0.451
Dy6 0.969 0.075 0.283
Sc11 0.631 0.297 0.703
Sc12 0.131 0.703 0.297

=====

7.
A relaxed structure of Pm5Dy4Sc. Source: Alexandria, functional PBE.

Calculated values
Crystal system: monoclinic
Relative energy among the computed polymorphs (meV per atom): 0
DOS at the Fermi energy (states/eV/cell): 13.96

a b c (Å): 3.549 11.436 8.618
angles (deg): 71.81 101.88 90.00
Positions (direct):
Sc1 0.500 0.000 0.000
Pm1 0.815 0.074 0.629
Dy1 0.604 0.202 0.209
Dy2 0.396 0.798 0.791
Dy3 0.082 0.713 0.165
Pm2 0.185 0.926 0.371
Pm3 0.500 0.500 0.000
Pm4 0.211 0.384 0.421
Dy4 0.918 0.287 0.835
Pm5 0.789 0.616 0.579

=====

8.
A relaxed structure of Pm6DySc3. Source: Alexandria, functional PBE.

Calculated values
Crystal system: trigonal
Relative energy among the computed polymorphs (meV per atom): 40
DOS at the Fermi energy (states/eV/cell): 18.84

a b c (Å): 9.734 9.734 6.820
angles (deg): 44.47 44.47 60.00
Positions (direct):
Pm1 0.900 0.562 0.300
Pm2 0.238 0.900 0.300
Pm3 0.735 0.065 0.800
Pm4 0.400 0.735 0.800
Sc1 0.641 0.641 0.076
Dy1 0.900 0.900 0.300
Pm5 0.562 0.238 0.300
Pm6 0.065 0.400 0.800
Sc2 0.400 0.400 0.800
Sc3 0.158 0.158 0.525

=====

9.
A relaxed structure of PmDy3Sc6. Source: Alexandria, functional PBE.

Calculated values
Crystal system: trigonal
Relative energy among the computed polymorphs (meV per atom): 248
DOS at the Fermi energy (states/eV/cell): 21.41

a b c (Å): 9.289 9.289 6.544
angles (deg): 44.79 44.79 60.00
Positions (direct):
Pm1 0.900 0.900 0.301
Sc1 0.730 0.071 0.798
Sc2 0.401 0.730 0.798
Sc3 0.071 0.401 0.798
Sc4 0.568 0.232 0.299
Dy1 0.150 0.150 0.549
Sc5 0.232 0.901 0.299
Dy2 0.648 0.648 0.056
Sc6 0.901 0.568 0.299
Dy3 0.399 0.399 0.802

=====

10.
A relaxed structure of Pm8Dy2Sc. Source: Alexandria, functional PBE.

Calculated values
Crystal system: monoclinic
Relative energy among the computed polymorphs (meV per atom): 0
DOS at the Fermi energy (states/eV/cell): 16.28

a b c (Å): 5.091 8.041 9.506
angles (deg): 104.68 105.53 90.00
Positions (direct):
Pm1 0.136 0.181 0.271
Pm2 0.590 0.448 0.181
Sc1 0.500 0.000 0.000
Dy1 0.226 0.634 0.452
Pm3 0.681 0.911 0.361
Pm4 0.045 0.731 0.091
Pm5 0.319 0.089 0.639
Pm6 0.410 0.552 0.819
Dy2 0.774 0.366 0.548
Pm7 0.864 0.819 0.729
Pm8 0.955 0.269 0.909

=====

11.
A relaxed structure of PmDy12Sc7. Source: Alexandria, functional PBE.

Calculated values
Crystal system: cubic
Relative energy among the computed polymorphs (meV per atom): 410
DOS at the Fermi energy (states/eV/cell): 32.91

a b c (Å): 9.502 9.502 9.502
angles (deg): 109.47 109.47 109.47
Positions (direct):
Sc1 0.000 0.500 0.000
Dy1 0.737 0.001 0.265
Dy2 0.999 0.735 0.263
Dy3 0.265 0.737 0.001
Sc2 0.500 0.000 0.000
Sc3 0.000 0.000 0.500
Dy4 0.735 0.263 0.999
Dy5 0.528 0.265 0.263
Dy6 0.263 0.999 0.735
Dy7 0.265 0.263 0.528
Dy8 0.001 0.265 0.737
Sc4 0.000 0.500 0.500
Dy9 0.735 0.737 0.472
Sc5 0.500 0.500 0.000
Dy10 0.737 0.472 0.735
Dy11 0.263 0.528 0.265
Pm1 0.000 0.000 0.000
Sc6 0.500 0.000 0.500
Dy12 0.472 0.735 0.737
Sc7 0.500 0.500 0.500

=====

12.
A relaxed structure of Pm5DySc3. Source: Alexandria, functional PBE.

Calculated values
Crystal system: monoclinic
DOS at the Fermi energy (states/eV/cell): 27.74

a b c (Å): 9.417 9.417 11.336
angles (deg): 52.22 52.22 74.16
Positions (direct):
Pm1 0.492 0.492 0.780
Sc1 0.000 0.000 0.000
Pm2 0.160 0.160 0.092
Pm3 0.855 0.350 0.534
Sc2 0.000 0.000 0.500
Sc3 0.659 0.659 0.327
Dy1 0.179 0.179 0.596
Pm4 0.508 0.508 0.220
Sc4 0.341 0.341 0.673
Pm5 0.840 0.840 0.908
Pm6 0.145 0.650 0.466
Sc5 0.684 0.684 0.808
Pm7 0.253 0.747 0.000
Pm8 0.350 0.855 0.534
Pm9 0.747 0.253 0.000
Dy2 0.821 0.821 0.404
Sc6 0.316 0.316 0.192
Pm10 0.650 0.145 0.466

=====

| no. | E_tot (eV/atom) |
| --- | --- |
| 1 | -4.9118 |
| 2 | -4.9312 |
| 3 | -4.8620 |
| 4 | -4.8999 |
| 5 | -5.1691 |
| 6 | -5.4974 |
| 7 | -4.8043 |
| 8 | -5.0303 |
| 9 | -5.2497 |
| 10 | -4.8406 |
| 11 | -4.5438 |
| 12 | -4.8269 |